Record 1
Crystalline ZrRh at its relaxed geometry. Source: Alexandria, functional PBE.

As for the crystal system: orthorhombic. Its final energy is -0.320 hartree per atom. Its formation energy is -751.8 meV/atom.

The space group is Pmma (No. 51) and the conventional cell measures 4.707, 3.113 and 4.901 Å, with angles of 90.00, 90.00 and 90.00 degrees. The inequivalent atoms are Zr at (0.250, 0.000, 0.234) and Rh at (0.250, 0.500, 0.716).

---

Record 2
Crystalline SrTaBe2O6 at its relaxed geometry. Source: Alexandria, functional PBE.

As for the crystal system: trigonal. For the raw formation energy, the calculation gives -247.4 kJ per mole of atoms. Its final energy is -0.281 hartree per atom.

The space group is R-3 (No. 148, hexagonal axes) and the conventional cell measures 5.1933, 5.1933 and 16.0996 Å, with angles of 90.00, 90.00 and 120.00 degrees. The inequivalent atoms are Sr at (0.0000, 0.0000, 0.0000), Ta at (0.0000, 0.0000, 0.5000), Be at (0.0000, 0.0000, 0.2390) and O at (0.0093, 0.4083, 0.9061).